Record 1
The following is a DFT calculation (PBE) of an optimized crystal structure of NdPaZn4.

Structure (POSCAR):
```
NdPaZn4
1.0
5.497 0.000 0.000
2.749 4.761 0.000
2.749 1.587 4.489
Nd Pa Zn
1 1 4
direct
0.000 0.000 0.000
0.250 0.250 0.250
0.126 0.625 0.625
0.625 0.126 0.625
0.625 0.625 0.126
0.625 0.625 0.625
```

The calculation puts the energy of formation from the pure elements at -0.9 eV/f.u.

Record 2
The following is a DFT calculation (PBE) of an optimized crystal structure of IrRu.

Structure (POSCAR):
```
IrRu
1.0
-2.501 1.247 -3.791
1.159 -2.005 -1.424
-5.666 -5.930 3.736
Ir Ru
4 4
direct
0.628 0.000 0.376
0.628 0.500 0.876
0.372 0.000 0.624
0.372 0.500 0.124
0.876 0.500 0.625
0.876 0.000 0.125
0.124 0.500 0.375
0.124 0.000 0.875
```

The calculation puts the energy above the lowest structure with this stoichiometry at 0.046 eV/atom. The calculation puts the energy of formation from the pure elements at 0.0 eV/f.u.

Record 3
The following is a DFT calculation (PBE) of an optimized crystal structure of TaCu2Re.

Structure (POSCAR):
```
TaCu2Re
1.0
-0.896 3.052 -0.585
-2.984 -1.015 -0.724
-1.495 0.586 5.345
Cu Ta Re
2 1 1
direct
0.000 0.000 0.025
0.500 0.500 0.229
0.500 0.500 0.745
0.000 0.000 0.501
```

The calculation puts the energy above the lowest structure with this stoichiometry at 0.000 eV/atom. The calculation puts the energy of formation from the pure elements at 0.4 eV/f.u.

Record 4
The following is a DFT calculation (PBE) of an optimized crystal structure of Mn2VHOs.

Structure (POSCAR):
```
Mn2VHOs
1.0
3.700 0.000 0.000
0.000 3.700 0.000
0.000 0.000 3.880
Mn V H Os
2 1 1 1
direct
0.000 0.500 0.000
0.500 0.000 0.000
0.500 0.500 0.500
0.000 0.000 0.000
0.000 0.000 0.500
```

The calculation puts the energy above the lowest structure with this stoichiometry at 0.056 eV/atom.

Record 5
The following is a DFT calculation (PBE) of an optimized crystal structure of LiTiB.

Structure (POSCAR):
```
LiTiB
1.0
-3.159 7.172 0.168
0.757 -7.501 2.146
1.946 0.807 2.134
B Ti Li
2 2 2
direct
0.470 0.530 0.750
0.530 0.470 0.250
0.924 0.076 0.250
0.076 0.924 0.750
0.699 0.301 0.250
0.301 0.699 0.750
```

The calculation puts the energy above the lowest structure with this stoichiometry at 0.056 eV/atom. The calculation puts the energy of formation from the pure elements at -1.1 eV/f.u.

Record 6
The following is a DFT calculation (PBE) of an optimized crystal structure of Cs2Rb4GaSb2.

Structure (POSCAR):
```
Cs2Rb4GaSb2
1.0
6.211 0.592 0.403
2.175 9.448 0.751
2.175 4.168 8.512
Cs Rb Sb Ga
2 4 2 1
direct
0.647 0.354 0.354
0.353 0.646 0.646
0.133 0.084 0.654
0.867 0.346 0.916
0.867 0.916 0.346
0.133 0.654 0.084
0.683 0.817 0.817
0.317 0.183 0.183
0.500 0.000 0.000
```

The value obtained for the energy relative to the elements, uncorrected is -162.1 meV/atom.

Record 7
The following is a DFT calculation (PBE) of an optimized crystal structure of Cs2NaMgCl5.

Structure (POSCAR):
```
Cs2NaMgCl5
1.0
4.168 0.000 0.000
-2.084 9.984 0.000
0.000 0.000 14.398
Cl Mg Cs Na
10 2 4 2
direct
0.335 0.670 0.998
0.909 0.818 0.553
0.500 0.001 0.791
0.697 0.394 0.899
0.277 0.554 0.635
0.303 0.606 0.399
0.665 0.330 0.498
0.500 0.999 0.291
0.091 0.182 0.053
0.723 0.446 0.135
0.786 0.572 0.520
0.214 0.428 0.020
0.890 0.779 0.180
0.138 0.276 0.300
0.862 0.724 0.800
0.110 0.221 0.680
0.565 0.131 0.948
0.435 0.869 0.448
```

The value obtained for the energy relative to the elements, uncorrected is -1857.8 meV/atom.

Record 8
The following is a DFT calculation (PBE) of an optimized crystal structure of Rb2ZnP4H8O16.

Structure (POSCAR):
```
Rb2ZnP4H8O16
1.0
7.077 -0.028 -0.019
0.405 7.498 0.035
2.389 0.916 7.367
Rb P H O Zn
2 4 8 16 1
direct
0.397 0.279 0.207
0.603 0.721 0.793
0.747 0.802 0.253
0.160 0.741 0.256
0.840 0.259 0.744
0.253 0.198 0.747
0.567 0.262 0.586
0.120 0.822 0.792
0.762 0.035 0.969
0.238 0.965 0.031
0.880 0.178 0.208
0.124 0.689 0.647
0.876 0.311 0.353
0.433 0.738 0.414
0.434 0.222 0.571
0.193 0.613 0.114
0.077 0.231 0.652
0.763 0.996 0.160
0.807 0.387 0.886
0.247 0.931 0.163
0.923 0.769 0.348
0.755 0.660 0.131
0.239 0.680 0.414
0.940 0.289 0.226
0.237 0.004 0.840
0.060 0.711 0.774
0.761 0.320 0.586
0.753 0.069 0.837
0.245 0.340 0.869
0.566 0.778 0.429
0.000 0.500 0.000
```

Record 9
The following is a DFT calculation (PBE) of an optimized crystal structure of V2HPb.

Structure (POSCAR):
```
V2HPb
1.0
-0.365 2.881 1.243
-2.877 1.291 0.178
-2.008 -1.592 7.115
H Pb V
1 1 2
direct
0.500 0.500 0.500
0.000 0.000 0.000
0.130 0.130 0.609
0.870 0.870 0.391
```

The calculation puts the energy above the lowest structure with this stoichiometry at 0.117 eV/atom.

Record 10
The following is a DFT calculation (PBE) of an optimized crystal structure of Pr4ErBi5.

Structure (POSCAR):
```
Pr4ErBi5
1.0
5.872 0.000 2.832
2.936 7.278 1.416
-0.226 0.000 7.972
Pr Bi Er
4 5 1
direct
0.200 0.204 0.398
0.404 0.398 0.796
0.802 0.796 0.602
0.598 0.602 0.204
0.294 0.805 0.608
0.708 0.195 0.392
0.902 0.392 0.805
0.100 0.608 0.195
0.501 0.000 0.000
0.001 0.000 0.000
```

The calculation puts the energy of formation from the pure elements at -9.2 eV/f.u.

Record 11
The following is a DFT calculation (PBE) of an optimized crystal structure of Na4NpPa3N8.

Structure (POSCAR):
```
Na4NpPa3N8
1.0
-6.365 -0.510 3.187
-2.444 -3.651 -5.466
5.890 -2.109 3.436
N Pa Na Np
8 3 4 1
direct
0.776 0.320 0.044
0.732 0.680 0.956
0.224 0.680 0.449
0.273 0.320 0.546
0.727 0.680 0.454
0.268 0.320 0.044
0.776 0.320 0.551
0.224 0.680 0.956
0.500 0.500 0.500
0.000 0.500 0.500
0.500 0.500 0.000
0.000 0.000 0.000
0.500 0.000 0.500
0.000 0.000 0.500
0.500 0.000 0.000
0.000 0.500 0.000
```

The value obtained for the energy relative to the elements, uncorrected is -1129.0 meV/atom.

Record 12
The following is a DFT calculation (PBE) of an optimized crystal structure of Rb2PbNF6.

Structure (POSCAR):
```
Rb2PbNF6
1.0
5.965 0.000 0.000
0.000 5.965 0.000
2.983 2.983 5.335
N F Rb Pb
1 6 2 1
direct
0.500 0.500 0.000
0.285 0.285 0.000
0.779 0.779 0.442
0.715 0.285 0.000
0.221 0.221 0.558
0.715 0.715 0.000
0.285 0.715 0.000
0.750 0.250 0.500
0.250 0.750 0.500
0.000 0.000 0.000
```

The value obtained for the energy relative to the elements, uncorrected is -1589.3 meV/atom.

Record 13
The following is a DFT calculation (PBE) of an optimized crystal structure of PrTh2N.

Structure (POSCAR):
```
PrTh2N
1.0
3.570 0.000 0.000
1.785 3.092 0.000
1.785 1.031 9.891
Pr Th N
1 2 1
direct
0.000 0.000 0.000
0.882 0.882 0.353
0.118 0.118 0.647
0.500 0.500 0.500
```

The value obtained for the energy relative to the elements, uncorrected is -473.9 meV/atom.

Record 14
The following is a DFT calculation (PBE) of an optimized crystal structure of RePN2F.

Structure (POSCAR):
```
RePN2F
1.0
3.908 0.000 0.000
0.000 3.908 0.000
0.000 0.000 4.102
N P F Re
2 1 1 1
direct
0.500 0.000 0.000
0.000 0.500 0.000
0.500 0.500 0.500
0.000 0.000 0.500
0.000 0.000 0.000
```

The value obtained for the energy relative to the elements, uncorrected is 599.6 meV/atom. The calculation puts the energy above the lowest structure with this stoichiometry at 0.000 eV/atom.

Record 15
The following is a DFT calculation (PBE) of an optimized crystal structure of Na5TlBi4.

Structure (POSCAR):
```
Na5TlBi4
1.0
3.457 0.000 0.000
0.000 3.457 0.000
0.000 0.000 24.305
Na Bi Tl
5 4 1
direct
0.500 0.500 0.500
0.500 0.500 0.102
0.500 0.500 0.299
0.500 0.500 0.898
0.500 0.500 0.701
0.000 0.000 0.198
0.000 0.000 0.802
0.000 0.000 0.399
0.000 0.000 0.601
0.000 0.000 0.000
```

The calculation puts the energy of formation from the pure elements at -2.6 eV/f.u.

Record 16
The following is a DFT calculation (PBE) of an optimized crystal structure of SmDyCdTc.

Structure (POSCAR):
```
SmDyCdTc
1.0
-1.996 3.915 -2.566
-3.865 2.643 1.993
0.749 4.760 1.635
Sm Cd Tc Dy
1 1 1 1
direct
0.750 0.750 0.750
0.000 0.000 0.000
0.500 0.500 0.500
0.250 0.250 0.250
```

The calculation puts the energy of formation from the pure elements at -0.2 eV/f.u.

Record 17
The following is a DFT calculation (PBE) of an optimized crystal structure of NbIn2Ge.

Structure (POSCAR):
```
NbIn2Ge
1.0
7.916 0.000 0.000
0.000 7.916 0.000
3.958 3.958 2.808
In Ge Nb
4 2 2
direct
0.611 0.125 0.250
0.375 0.389 0.750
0.139 0.625 0.250
0.875 0.861 0.750
0.500 0.500 0.000
0.250 0.750 0.500
0.000 0.000 0.000
0.750 0.250 0.500
```

The calculation puts the energy above the lowest structure with this stoichiometry at 0.000 eV/atom. The calculation puts the energy of formation from the pure elements at 1.8 eV/f.u.

Record 18
The following is a DFT calculation (PBE) of an optimized crystal structure of PuAl3.

Structure (POSCAR):
```
PuAl3
1.0
2.817 0.000 0.000
0.000 4.644 0.000
0.000 0.000 5.912
Pu Al
1 3
direct
0.000 0.500 0.315
0.500 0.000 0.556
0.000 0.000 0.977
0.500 0.500 0.819
```

The calculation puts the energy of formation from the pure elements at -0.4 eV/f.u.

Record 19
The following is a DFT calculation (PBE) of an optimized crystal structure of TbHfZnPt.

Structure (POSCAR):
```
TbHfZnPt
1.0
-3.095 -2.235 -2.990
1.383 -1.153 -4.502
0.715 -4.642 -1.202
Tb Pt Zn Hf
1 1 1 1
direct
0.000 0.000 0.000
0.250 0.250 0.250
0.750 0.750 0.750
0.500 0.500 0.500
```

The calculation puts the energy of formation from the pure elements at -2.3 eV/f.u.

Record 20
The following is a DFT calculation (PBE) of an optimized crystal structure of TbY2ThN4.

Structure (POSCAR):
```
TbY2ThN4
1.0
3.543 0.000 0.000
0.000 6.114 0.114
0.000 -2.132 5.730
N Th Y Tb
4 1 2 1
direct
0.000 0.751 0.252
0.000 0.249 0.748
0.500 0.251 0.250
0.500 0.749 0.750
0.500 0.500 0.000
0.000 0.500 0.500
0.500 0.000 0.500
0.000 0.000 0.000
```

The value obtained for the energy relative to the elements, uncorrected is -1663.1 meV/atom.

Record 21
The following is a DFT calculation (PBE) of an optimized crystal structure of Li3TlBr4.

Structure (POSCAR):
```
Li3TlBr4
1.0
4.272 0.000 0.000
0.000 7.647 -0.490
0.000 0.142 7.662
Tl Li Br
1 3 4
direct
0.000 0.534 0.466
0.500 0.994 0.645
0.500 0.355 0.006
0.000 0.910 0.090
0.500 0.780 0.220
0.000 0.247 0.137
0.500 0.318 0.682
0.000 0.863 0.753
```

The value obtained for the energy relative to the elements, uncorrected is -1313.8 meV/atom.

Record 22
The following is a DFT calculation (PBE) of an optimized crystal structure of Sc2FeHPd.

Structure (POSCAR):
```
Sc2FeHPd
1.0
-2.522 -0.880 -3.614
3.575 -1.778 -2.062
-0.774 -3.040 1.280
Sc Pd H Fe
2 1 1 1
direct
0.500 0.000 0.000
0.000 0.500 0.000
0.500 0.500 0.500
0.000 0.000 0.000
0.000 0.000 0.500
```

Record 23
The following is a DFT calculation (PBE) of an optimized crystal structure of Li2Mg3Br8.

Structure (POSCAR):
```
Li2Mg3Br8
1.0
6.810 -0.093 0.779
0.388 6.671 3.611
-0.158 0.039 7.594
Br Mg Li
8 3 2
direct
0.649 0.111 0.111
0.375 0.384 0.384
0.853 0.640 0.114
0.351 0.889 0.889
0.853 0.114 0.640
0.147 0.886 0.360
0.147 0.360 0.886
0.625 0.616 0.616
0.500 0.254 0.746
0.500 0.746 0.254
0.000 0.000 0.000
0.930 0.716 0.716
0.070 0.284 0.284
```

The value obtained for the energy relative to the elements, uncorrected is -1472.0 meV/atom.

Record 24
The following is a DFT calculation (PBE) of an optimized crystal structure of HgPtAu4.

Structure (POSCAR):
```
HgPtAu4
1.0
2.906 -0.004 0.658
-0.187 4.971 0.740
-0.149 -3.464 6.959
Au Hg Pt
4 1 1
direct
0.168 0.501 0.664
0.333 0.003 0.333
0.832 0.499 0.336
0.667 0.997 0.667
0.500 0.500 0.000
0.000 0.000 0.000
```

The calculation puts the energy above the lowest structure with this stoichiometry at 0.000 eV/atom. The calculation puts the energy of formation from the pure elements at 0.2 eV/f.u.

| no. | calculated density (g cm⁻³) | electronic total energy (eV per atom) |
| --- | --- | --- |
| 1 | 9.002 | -3.369 |
| 2 | 17.140 | -9.078 |
| 3 | 14.060 | -8.022 |
| 4 | 11.006 | -8.412 |
| 5 | 2.831 | -5.851 |
| 6 | 3.285 | -2.034 |
| 7 | 2.718 | -3.397 |
| 8 | 2.651 | -5.988 |
| 9 | 8.121 | -5.935 |
| 10 | 8.538 | -5.231 |
| 11 | 7.524 | -8.211 |
| 12 | 4.427 | -4.109 |
| 13 | 9.414 | -7.460 |
| 14 | 7.002 | -6.676 |
| 15 | 6.604 | -2.708 |
| 16 | 9.325 | -5.207 |
| 17 | 7.458 | -4.598 |
| 18 | 6.976 | -6.488 |
| 19 | 12.318 | -6.061 |
| 20 | 8.302 | -8.948 |
| 21 | 3.610 | -3.164 |
| 22 | 6.145 | -6.445 |
| 23 | 3.493 | -3.164 |
| 24 | 18.048 | -3.207 |